The following is a DFT calculation (PBE) of an optimized crystal structure of KReCl3.

a b c (Å): 4.9383 4.9383 4.9383
angles (deg): 90.00 90.00 90.00
Fractional positions:
1 K 0.0000 0.0000 0.0000
2 Re 0.5000 0.5000 0.5000
3 Cl 0.0000 0.5000 0.5000
4 Cl 0.5000 0.0000 0.5000
5 Cl 0.5000 0.5000 0.0000

The following is a DFT calculation (PBE) of an optimized crystal structure of K2ReCl.

a b c (Å): 5.8143 5.8143 5.8143
angles (deg): 60.00 60.00 60.00
Fractional positions:
1 K 0.2500 0.2500 0.2500
2 K 0.7500 0.7500 0.7500
3 Re 0.0000 0.0000 0.0000
4 Cl 0.5000 0.5000 0.5000

DOS(E_F) / states/eV/f.u.: 2.1 5.2
Magnetic moment / μB per atom: 0.533 1.000
Formation energy (no corrections) / meV/atom: -491 790